The following is a DFT calculation (PBE+U) of a geometry-optimized NaDyMo2O8 structure.

Summary:
volume: 15.05 Å³ per atom
SG: No. 119
DFT total energy: -0.5222 Ry/atom
N(E_F): 0.00 states/eV/f.u.

a = 6.188 Å, b = 6.188 Å, c = 6.188 Å
α = 106.32°, β = 106.32°, γ = 115.97°
Sites, in units of the cell vectors:
O (0.341, 0.538, 0.197)
O (0.341, 0.144, 0.803)
O (0.929, 0.612, 0.684)
O (0.856, 0.659, 0.197)
O (0.929, 0.245, 0.316)
O (0.755, 0.071, 0.684)
O (0.462, 0.659, 0.803)
O (0.388, 0.071, 0.316)
Dy (0.250, 0.750, 0.500)
Mo (0.750, 0.250, 0.500)
Mo (0.500, 0.500, 0.000)
Na (0.000, 0.000, 0.000)